La2CuSi4Ni | GGA-PBE | optimized geometry

Values from the calculation:
Its space group is Amm2 (38). The total energy is -5.830 eV/atom.

Lattice parameters (Å, degrees): 4.115 8.659 8.659 28.35 90.00 90.00
Sites, in units of the cell vectors:
La1 0.000 0.000 0.000
La2 0.500 0.212 0.212
Cu1 0.000 0.781 0.781
Si1 0.000 0.356 0.356
Si2 0.000 0.640 0.640
Si3 0.500 0.562 0.562
Si4 0.500 0.858 0.858
Ni1 0.500 0.421 0.421